Computed, not measured: AcPm4Au after structural relaxation at the PBE-GGA level of DFT.

Cell: 11.0762 11.0762 6.6951 Å, 90.00 90.00 150.38°
Element x y z (fractional)
1 Ac 0.0680 0.9320 0.5000
2 Ac 0.9320 0.0680 0.0000
3 Pm 0.1356 0.8644 0.9975
4 Pm 0.2581 0.7419 0.3742
5 Pm 0.3235 0.6765 0.8628
6 Pm 0.4667 0.5333 0.6528
7 Pm 0.5333 0.4667 0.1528
8 Pm 0.6765 0.3235 0.3628
9 Pm 0.7419 0.2581 0.8742
10 Pm 0.8644 0.1356 0.4975
11 Au 0.3952 0.6048 0.2626
12 Au 0.6048 0.3952 0.7626

## Properties
The space group is Cmc2_1 (36).



Computed, not measured: Ac2PmAu6 after structural relaxation at the PBE-GGA level of DFT.

Cell: 8.8518 8.8518 8.8518 Å, 154.37 127.21 59.58°
Element x y z (fractional)
1 Ac 0.1426 0.1426 0.0000
2 Ac 0.8574 0.8574 0.0000
3 Pm 0.5000 0.0000 0.5000
4 Au 0.1494 0.3290 0.8204
5 Au 0.1894 0.5000 0.6894
6 Au 0.4914 0.6710 0.8204
7 Au 0.5086 0.3290 0.1796
8 Au 0.8106 0.5000 0.3106
9 Au 0.8506 0.6710 0.1796

## Properties
The space group is Immm (71). The energy relative to the lowest polymorph listed for this composition comes out at 104 meV/atom.



Computed, not measured: Ac2PmAu6 after structural relaxation at the PBE-GGA level of DFT.

Cell: 8.3588 8.3588 3.7905 Å, 90.00 90.00 120.00°
Element x y z (fractional)
1 Ac 0.3333 0.6667 0.0000
2 Ac 0.6667 0.3333 0.0000
3 Pm 0.0000 0.0000 0.0000
4 Au 0.0000 0.3307 0.5000
5 Au 0.0000 0.6693 0.5000
6 Au 0.3307 0.0000 0.5000
7 Au 0.3307 0.3307 0.5000
8 Au 0.6693 0.0000 0.5000
9 Au 0.6693 0.6693 0.5000

## Properties
The space group is P6/mmm (191). The energy relative to the lowest polymorph listed for this composition comes out at 0 meV/atom.



Computed, not measured: AcPm3Au2 after structural relaxation at the PBE-GGA level of DFT.

Cell: 5.1273 9.2943 7.5814 Å, 90.00 90.00 90.00°
Element x y z (fractional)
1 Ac 0.0000 0.0770 0.0000
2 Ac 0.0000 0.9230 0.5000
3 Pm 0.0000 0.3403 0.6378
4 Pm 0.0000 0.6597 0.1378
5 Pm 0.5000 0.1741 0.3432
6 Pm 0.5000 0.4264 0.9774
7 Pm 0.5000 0.5736 0.4774
8 Pm 0.5000 0.8259 0.8432
9 Au 0.0000 0.3514 0.2450
10 Au 0.0000 0.6486 0.7450
11 Au 0.5000 0.1582 0.7370
12 Au 0.5000 0.8418 0.2370

## Properties
The space group is Pmc2_1 (26). The energy relative to the lowest polymorph listed for this composition comes out at 0 meV/atom.



Computed, not measured: Ac3Pm3Au4 after structural relaxation at the PBE-GGA level of DFT.

Cell: 4.0945 8.6082 8.6082 Å, 90.08 90.00 90.00°
Element x y z (fractional)
1 Ac 0.0000 0.0000 0.0000
2 Ac 0.0000 0.4899 0.8226
3 Ac 0.0000 0.8226 0.4899
4 Pm 0.0000 0.3286 0.3286
5 Pm 0.5000 0.1589 0.6510
6 Pm 0.5000 0.6510 0.1589
7 Au 0.5000 0.0431 0.2973
8 Au 0.5000 0.2973 0.0431
9 Au 0.5000 0.5207 0.5207
10 Au 0.5000 0.7914 0.7914

## Properties
The space group is Amm2 (38).



Computed, not measured: Ac4PmAu3 after structural relaxation at the PBE-GGA level of DFT.

Cell: 4.2197 4.9674 12.5930 Å, 90.00 90.00 90.00°
Element x y z (fractional)
1 Ac 0.0000 0.0000 0.0000
2 Ac 0.0000 0.5000 0.2602
3 Ac 0.5000 0.0000 0.4675
4 Ac 0.5000 0.5000 0.7990
5 Pm 0.0000 0.0000 0.6949
6 Au 0.0000 0.5000 0.5454
7 Au 0.5000 0.0000 0.2130
8 Au 0.5000 0.5000 0.0591

## Properties
The space group is Pmm2 (25).



Computed, not measured: AcPm2Au8 after structural relaxation at the PBE-GGA level of DFT.

Cell: 8.7613 8.7613 5.2435 Å, 107.36 107.36 124.73°
Element x y z (fractional)
1 Ac 0.0000 0.0000 0.0000
2 Pm 0.3150 0.6850 0.5000
3 Pm 0.6850 0.3150 0.5000
4 Au 0.0933 0.3613 0.7279
5 Au 0.2051 0.7949 0.0000
6 Au 0.3613 0.0933 0.7279
7 Au 0.5003 0.5003 0.2491
8 Au 0.4997 0.4997 0.7509
9 Au 0.6387 0.9067 0.2721
10 Au 0.7949 0.2051 0.0000
11 Au 0.9067 0.6387 0.2721

## Properties
The space group is C2/m (12).



Computed, not measured: Ac2Pm3Au2 after structural relaxation at the PBE-GGA level of DFT.

Cell: 6.8411 6.8411 9.7022 Å, 114.71 114.71 33.93°
Element x y z (fractional)
1 Ac 0.1540 0.1540 0.3083
2 Ac 0.8460 0.8460 0.6917
3 Pm 0.3824 0.3824 0.0537
4 Pm 0.5000 0.5000 0.5000
5 Pm 0.6176 0.6176 0.9463
6 Au 0.1580 0.1580 0.7337
7 Au 0.8420 0.8420 0.2663

## Properties
The space group is C2/m (12).



Number 1: E -4.549 eV per atom, energy of formation from the pure elements -0.1511 eV per atom, total magnetic moment 0.0 μB/f.u.. Number 2: E -4.311 eV per atom, energy of formation from the pure elements -0.6853 eV per atom, total magnetic moment 0.0 μB/f.u.. Number 3: E -4.415 eV per atom, energy of formation from the pure elements -0.7895 eV per atom, total magnetic moment 0.0 μB/f.u.. Number 4: E -4.698 eV per atom, energy of formation from the pure elements -0.5456 eV per atom, total magnetic moment 0.0 μB/f.u.. Number 5: E -4.602 eV per atom, energy of formation from the pure elements -0.6336 eV per atom, total magnetic moment 0.0 μB/f.u.. Number 6: E -4.412 eV per atom, energy of formation from the pure elements -0.5353 eV per atom, total magnetic moment 0.0 μB/f.u.. Number 7: E -4.350 eV per atom, energy of formation from the pure elements -0.7288 eV per atom, total magnetic moment 0.0 μB/f.u.. Number 8: E -4.610 eV per atom, energy of formation from the pure elements -0.4641 eV per atom, total magnetic moment 0.0 μB/f.u..